DFT (PBE) results for a relaxed TaGe2HOs crystal.

Output
Final energy, eV/atom: -6.79
Total moment, μB per atom: 0.00

Cell: 4.3779 4.3779 3.4444 Å, 90.00 90.00 90.00°
Fractional positions:
Ta  0.0000  0.0000  0.0000
Ge  0.0000  0.5000  0.5000
Ge  0.5000  0.0000  0.5000
H  0.0000  0.0000  0.5000
Os  0.5000  0.5000  0.0000



DFT (PBE) results for a relaxed Th2Ge2HOs2 crystal.

Output
Final energy, eV/atom: -7.54
Total moment, μB per atom: 0.00

Cell: 5.8430 5.8430 6.9934 Å, 126.05 126.05 44.51°
Fractional positions:
Th  0.0545  0.0545  0.3224
Th  0.9455  0.9455  0.6776
Ge  0.3392  0.3392  0.8893
Ge  0.6608  0.6608  0.1107
H  0.5000  0.5000  0.5000
Os  0.2863  0.2863  0.1981
Os  0.7137  0.7137  0.8019



DFT (PBE) results for a relaxed Ge2PH crystal.

Output
Distance to the lowest polymorph of the same formula, eV/atom: 0.177
Final energy, eV/atom: -4.11
Total moment, μB per atom: 0.00

Cell: 6.1984 6.1984 6.1984 Å, 129.59 129.59 74.06°
Fractional positions:
Ge  0.0621  0.6250  0.9371
Ge  0.3750  0.3121  0.4371
Ge  0.6879  0.1250  0.0629
Ge  0.8750  0.9379  0.5629
P  0.2500  0.7500  0.5000
P  0.5000  0.5000  0.0000
H  0.0000  0.0000  0.0000
H  0.7500  0.2500  0.5000



DFT (PBE) results for a relaxed GePH2 crystal.

Output
Distance to the lowest polymorph of the same formula, eV/atom: 0.000
Final energy, eV/atom: -4.10
Total moment, μB per atom: 0.00

Cell: 6.2930 5.3657 8.2620 Å, 90.00 110.76 90.00°
Fractional positions:
Ge  0.1963  0.2070  0.2792
Ge  0.1963  0.2930  0.7792
Ge  0.8037  0.7070  0.2208
Ge  0.8037  0.7930  0.7208
P  0.1106  0.6079  0.9443
P  0.1106  0.8921  0.4443
P  0.8894  0.1079  0.5557
P  0.8894  0.3921  0.0557
H  0.3394  0.0921  0.9041
H  0.3394  0.4079  0.4041
H  0.3432  0.0772  0.1895
H  0.3432  0.4228  0.6895
H  0.6568  0.5772  0.3105
H  0.6568  0.9228  0.8105
H  0.6606  0.5921  0.5959
H  0.6606  0.9079  0.0959



DFT (PBE) results for a relaxed GePH2 crystal.

Output
Distance to the lowest polymorph of the same formula, eV/atom: 0.702
Final energy, eV/atom: -3.39
Total moment, μB per atom: 0.00

Cell: 3.8098 3.8098 3.8098 Å, 60.00 60.00 60.00°
Fractional positions:
Ge  0.0000  0.0000  0.0000
P  0.5000  0.5000  0.5000
H  0.2500  0.2500  0.2500
H  0.7500  0.7500  0.7500



DFT (PBE) results for a relaxed Ge2P2H crystal.

Output
Distance to the lowest polymorph of the same formula, eV/atom: 0.000
Final energy, eV/atom: -4.59
Total moment, μB per atom: 0.00

Cell: 9.1457 9.1457 6.4686 Å, 108.69 108.69 22.76°
Fractional positions:
Ge  0.0611  0.0611  0.2709
Ge  0.4286  0.4286  0.2544
Ge  0.5714  0.5714  0.7456
Ge  0.9389  0.9389  0.7291
P  0.1408  0.1408  0.6506
P  0.3780  0.3780  0.8628
P  0.6220  0.6220  0.1372
P  0.8592  0.8592  0.3494
H  0.2929  0.2929  0.7800
H  0.7071  0.7071  0.2200



DFT (PBE) results for a relaxed Ge3PH crystal.

Output
Distance to the lowest polymorph of the same formula, eV/atom: 0.000
Final energy, eV/atom: -3.94
Total moment, μB per atom: 0.00

Cell: 4.2736 4.2736 4.2736 Å, 90.00 90.00 90.00°
Fractional positions:
Ge  0.0000  0.0000  0.5000
Ge  0.0000  0.5000  0.0000
Ge  0.5000  0.0000  0.0000
P  0.5000  0.5000  0.5000
H  0.0000  0.0000  0.0000



DFT (PBE) results for a relaxed Ge2PH crystal.

Output
Distance to the lowest polymorph of the same formula, eV/atom: 0.000
Final energy, eV/atom: -4.29
Total moment, μB per atom: 0.00

Cell: 4.7155 5.2366 6.5392 Å, 97.38 100.57 99.52°
Fractional positions:
Ge  0.0000  0.0000  0.0000
Ge  0.0066  0.3851  0.5961
Ge  0.5295  0.6413  0.1692
Ge  0.5404  0.0522  0.5551
P  0.2532  0.2978  0.3205
P  0.3671  0.2763  0.8563
H  0.0081  0.6867  0.6366
H  0.2132  0.7639  0.0679



DFT (PBE) results for a relaxed Ge2PH crystal.

Output
Distance to the lowest polymorph of the same formula, eV/atom: 0.174
Final energy, eV/atom: -4.12
Total moment, μB per atom: 0.00

Cell: 7.0000 7.0000 7.0000 Å, 28.87 28.87 28.87°
Fractional positions:
Ge  0.0907  0.0907  0.0907
Ge  0.9093  0.9093  0.9093
P  0.5000  0.5000  0.5000
H  0.0000  0.0000  0.0000



DFT (PBE) results for a relaxed GeP2H crystal.

Output
Distance to the lowest polymorph of the same formula, eV/atom: 0.633
Final energy, eV/atom: -3.89
Total moment, μB per atom: 0.00

Cell: 4.2331 4.2331 4.2331 Å, 60.00 60.00 60.00°
Fractional positions:
Ge  0.0000  0.0000  0.0000
P  0.2500  0.2500  0.2500
P  0.7500  0.7500  0.7500
H  0.5000  0.5000  0.5000



DFT (PBE) results for a relaxed Ge2P2H crystal.

Output
Distance to the lowest polymorph of the same formula, eV/atom: 0.126
Final energy, eV/atom: -4.46
Total moment, μB per atom: 0.00

Cell: 4.6195 4.6195 4.6195 Å, 112.08 112.08 104.38°
Fractional positions:
Ge  0.2500  0.7500  0.5000
Ge  0.7500  0.2500  0.5000
P  0.2082  0.2082  0.0000
P  0.7918  0.7918  0.0000
H  0.5000  0.5000  0.0000



DFT (PBE) results for a relaxed Ge2P2H crystal.

Output
Distance to the lowest polymorph of the same formula, eV/atom: 0.606
Final energy, eV/atom: -3.99
Total moment, μB per atom: 0.00

Cell: 6.4455 6.4455 6.4455 Å, 143.69 143.69 52.28°
Fractional positions:
Ge  0.1162  0.1162  0.0000
Ge  0.8838  0.8838  0.0000
P  0.2500  0.7500  0.5000
P  0.7500  0.2500  0.5000
H  0.5000  0.5000  0.0000



DFT (PBE) results for a relaxed GeP2H crystal.

Output
Distance to the lowest polymorph of the same formula, eV/atom: 0.000
Final energy, eV/atom: -4.53
Total moment, μB per atom: 0.00

Cell: 4.4267 5.5236 6.9758 Å, 71.38 81.58 81.86°
Fractional positions:
Ge  0.0000  0.0000  0.0000
Ge  0.0644  0.8675  0.5441
P  0.3324  0.6779  0.8465
P  0.4368  0.0718  0.2783
P  0.6426  0.9791  0.7679
P  0.7791  0.7268  0.3347
H  0.4731  0.2253  0.6959
H  0.5632  0.2403  0.3587



DFT (PBE) results for a relaxed Ge2PH crystal.

Output
Distance to the lowest polymorph of the same formula, eV/atom: 0.341
Final energy, eV/atom: -3.95
Total moment, μB per atom: 0.00

Cell: 4.3573 4.3573 4.3573 Å, 60.00 60.00 60.00°
Fractional positions:
Ge  0.2500  0.2500  0.2500
Ge  0.7500  0.7500  0.7500
P  0.0000  0.0000  0.0000
H  0.5000  0.5000  0.5000



DFT (PBE) results for a relaxed GePH2 crystal.

Output
Distance to the lowest polymorph of the same formula, eV/atom: 0.510
Final energy, eV/atom: -3.59
Total moment, μB per atom: 0.00

Cell: 6.3763 6.3763 6.3763 Å, 144.28 144.28 51.41°
Fractional positions:
Ge  0.0000  0.0000  0.0000
Ge  0.7500  0.2500  0.5000
P  0.2500  0.7500  0.5000
P  0.5000  0.5000  0.0000
H  0.3201  0.6250  0.1951
H  0.3750  0.5701  0.6951
H  0.4299  0.1250  0.8049
H  0.8750  0.6799  0.3049



DFT (PBE) results for a relaxed Ge3PH crystal.

Output
Distance to the lowest polymorph of the same formula, eV/atom: 0.519
Final energy, eV/atom: -3.42
Total moment, μB per atom: 0.00

Cell: 4.8682 4.8682 4.8682 Å, 90.00 90.00 90.00°
Fractional positions:
Ge  0.0000  0.0000  0.5000
Ge  0.0000  0.5000  0.0000
Ge  0.5000  0.0000  0.0000
P  0.0000  0.0000  0.0000
H  0.5000  0.5000  0.5000



DFT (PBE) results for a relaxed Ge2P2H crystal.

Output
Distance to the lowest polymorph of the same formula, eV/atom: 0.556
Final energy, eV/atom: -4.04
Total moment, μB per atom: 0.00

Cell: 6.8261 6.8261 3.3436 Å, 90.00 90.00 90.00°
Fractional positions:
Ge  0.1525  0.3475  0.0000
Ge  0.3475  0.8475  0.0000
Ge  0.6525  0.1525  0.0000
Ge  0.8475  0.6525  0.0000
P  0.1580  0.6580  0.5000
P  0.3420  0.1580  0.5000
P  0.6580  0.8420  0.5000
P  0.8420  0.3420  0.5000
H  0.0000  0.0000  0.5000
H  0.5000  0.5000  0.5000



DFT (PBE) results for a relaxed GeP2H crystal.

Output
Distance to the lowest polymorph of the same formula, eV/atom: 0.275
Final energy, eV/atom: -4.25
Total moment, μB per atom: 0.00

Cell: 6.5224 6.5224 6.5224 Å, 31.83 31.83 31.83°
Fractional positions:
Ge  0.0000  0.0000  0.0000
P  0.4077  0.4077  0.4077
P  0.5923  0.5923  0.5923
H  0.5000  0.5000  0.5000



DFT (PBE) results for a relaxed GeP2H crystal.

Output
Distance to the lowest polymorph of the same formula, eV/atom: 0.306
Final energy, eV/atom: -4.22
Total moment, μB per atom: 0.00

Cell: 6.0599 6.0599 6.0599 Å, 130.64 130.64 72.39°
Fractional positions:
Ge  0.0000  0.0000  0.0000
Ge  0.7500  0.2500  0.5000
P  0.1875  0.6250  0.0625
P  0.3750  0.4375  0.5625
P  0.5625  0.1250  0.9375
P  0.8750  0.8125  0.4375
H  0.2500  0.7500  0.5000
H  0.5000  0.5000  0.0000



DFT (PBE) results for a relaxed GeP2HPt crystal.

Output
Final energy, eV/atom: -4.48
Total moment, μB per atom: 0.00

Cell: 4.5400 4.5400 3.4037 Å, 90.00 90.00 90.00°
Fractional positions:
Ge  0.0000  0.0000  0.0000
P  0.0000  0.5000  0.5000
P  0.5000  0.0000  0.5000
H  0.5000  0.5000  0.5000
Pt  0.5000  0.5000  0.0000